22
Lattice="5.880 0.000 0.000 2.932 5.112 0.000 1.056 1.553 8.867" Properties=species:S:1:pos:R:3 comment="Na3Li5Mn5O9 | Alexandria via LeMat-Bulk | GGA+U | relaxed" sg="No. 1" de_polymorph_mev_per_atom=32 crystal_system=triclinic pbc="T T T"
Na 0.000 0.000 0.000
Na 3.807 3.147 8.794
Na 5.798 3.336 0.020
Li 2.831 1.689 5.264
Li 4.860 5.098 1.847
Li 4.753 1.646 1.734
Li 7.712 3.401 6.635
Li 7.800 3.333 1.716
Mn 3.881 3.463 3.694
Mn 4.838 4.807 6.624
Mn 6.874 4.913 3.718
Mn 5.026 1.491 6.631
Mn 6.651 1.684 3.673
O 1.945 3.229 4.503
O 4.879 5.174 4.450
O 3.871 3.396 1.660
O 2.944 1.489 7.151
O 4.694 1.647 4.477
O 6.792 5.029 1.676
O 5.866 3.210 7.417
O 6.767 1.646 1.640
O 8.809 4.905 7.417